[1]
The following is a DFT calculation (PBE with a Hubbard U) of a geometry-optimized K2V2CdO6 structure.

abc: 6.0969 6.0767 6.9087
angles: 117.01 90.00 120.11
Fractional positions:
K (0.7070, 0.4140, 0.1701)
K (0.2930, 0.5860, 0.8299)
V (0.9505, 0.9009, 0.7800)
V (0.0495, 0.0991, 0.2200)
Cd (0.5000, 0.0000, 0.5000)
O (0.7609, 0.5219, 0.6609)
O (0.2075, 0.9356, 0.2348)
O (0.2719, 0.0644, 0.7652)
O (0.7925, 0.0644, 0.7652)
O (0.7281, 0.9356, 0.2348)
O (0.2391, 0.4781, 0.3391)

total energy: -6.0087 eV/atom
calculated density: 3.42 g cm⁻³
M_tot: 0.06 Bohr magnetons per cell

---

[2]
The following is a DFT calculation (PBE with a Hubbard U) of a geometry-optimized K2VCdO4 structure.

abc: 5.8339 6.6854 10.8070
angles: 83.24 74.34 64.13
Fractional positions:
K (0.1847, 0.0000, 0.6305)
K (0.8153, 0.0000, 0.3695)
K (0.5653, 0.5000, 0.8695)
K (0.9347, 0.5000, 0.1305)
V (0.2500, 0.5000, 0.5000)
V (0.5000, 0.0000, 0.0000)
Cd (0.7500, 0.5000, 0.5000)
Cd (0.0000, 0.0000, 0.0000)
O (0.3600, 0.8245, 0.0898)
O (0.2743, 0.1755, 0.9102)
O (0.8155, 0.8245, 0.9102)
O (0.5502, 0.1755, 0.0898)
O (0.3900, 0.6755, 0.4102)
O (0.4757, 0.3245, 0.5898)
O (0.9345, 0.6755, 0.5898)
O (0.1998, 0.3245, 0.4102)

total energy: -5.2231 eV/atom
calculated density: 2.78 g cm⁻³
M_tot: 0.00 Bohr magnetons per cell

---

[3]
The following is a DFT calculation (PBE with a Hubbard U) of a geometry-optimized KV4Cd3O12 structure.

abc: 7.3530 7.3530 7.3530
angles: 109.97 109.97 109.97
Site moments in Bohr magnetons follow the coordinates.
Fractional positions:
K (0.0000, 0.0000, 0.0000)  0.01
V (0.9273, 0.0727, 0.5000)  0.84
V (0.0727, 0.5000, 0.9273)  0.84
V (0.5000, 0.9273, 0.0727)  0.84
V (0.5000, 0.5000, 0.5000)  0.98
Cd (0.5659, 0.4341, 0.0000)  -0.01
Cd (0.4341, 0.0000, 0.5659)  -0.01
Cd (0.0000, 0.5659, 0.4341)  -0.01
O (0.5000, 0.3563, 0.6437)  -0.06
O (0.9272, 0.5000, 0.0728)  -0.06
O (0.0728, 0.9272, 0.5000)  -0.06
O (0.5000, 0.0728, 0.9272)  -0.06
O (0.3397, 0.8770, 0.2054)  -0.07
O (0.2054, 0.3397, 0.8770)  -0.07
O (0.8770, 0.2054, 0.3397)  -0.07
O (0.6603, 0.7946, 0.1230)  -0.07
O (0.1230, 0.6603, 0.7946)  -0.07
O (0.7946, 0.1230, 0.6603)  -0.07
O (0.6437, 0.5000, 0.3563)  -0.06
O (0.3563, 0.6437, 0.5000)  -0.06

total energy: -6.1050 eV/atom
calculated density: 4.27 g cm⁻³
M_tot: 3.00 Bohr magnetons per cell

---

[4]
The following is a DFT calculation (PBE with a Hubbard U) of a geometry-optimized K2VCd2O6 structure.

abc: 5.5999 5.5999 6.6005
angles: 100.25 100.25 116.75
Site moments in Bohr magnetons follow the coordinates.
Fractional positions:
K (0.8252, 0.1748, 0.0000)  0.00
K (0.1748, 0.8252, 0.0000)  0.00
V (0.0000, 0.0000, 0.5000)  -0.12
Cd (0.3365, 0.6635, 0.5000)  0.03
Cd (0.6635, 0.3365, 0.5000)  0.03
O (0.7788, 0.7788, 0.6694)  0.11
O (0.0508, 0.3346, 0.6810)  0.19
O (0.2212, 0.2212, 0.3306)  0.11
O (0.3346, 0.0508, 0.6810)  0.19
O (0.9492, 0.6654, 0.3190)  0.19
O (0.6654, 0.9492, 0.3190)  0.19

total energy: -5.0787 eV/atom
calculated density: 4.30 g cm⁻³
M_tot: 1.08 Bohr magnetons per cell

---

[5]
The following is a DFT calculation (PBE with a Hubbard U) of a geometry-optimized K2CdWO4 structure.

abc: 6.4324 6.4327 6.4328
angles: 112.56 107.95 107.95
Fractional positions:
K (0.5000, 0.7500, 0.2500)
K (0.0000, 0.0000, 0.0000)
Cd (0.5000, 0.2500, 0.7500)
W (0.0000, 0.5000, 0.5000)
O (0.7420, 0.5676, 0.4825)
O (0.9149, 0.1745, 0.4324)
O (0.0851, 0.5175, 0.2596)
O (0.2579, 0.7405, 0.8256)

total energy: -5.4076 eV/atom
calculated density: 3.56 g cm⁻³
M_tot: 0.00 Bohr magnetons per cell

---

[6]
The following is a DFT calculation (PBE with a Hubbard U) of a geometry-optimized KCd2WO6 structure.

abc: 5.7946 5.7935 6.2098
angles: 62.20 62.18 59.99
Site moments in Bohr magnetons follow the coordinates.
Fractional positions:
K (0.7980, 0.7979, 0.6061)  0.00
Cd (0.5278, 0.5277, 0.4167)  0.01
Cd (0.0172, 0.0174, 0.9479)  0.04
W (0.3174, 0.3174, 0.0478)  -0.06
O (0.5514, 0.2601, 0.2184)  0.04
O (0.2601, 0.9701, 0.2185)  0.04
O (0.9701, 0.5514, 0.2185)  0.04
O (0.3523, 0.6822, 0.7804)  0.25
O (0.6822, 0.1851, 0.7803)  0.25
O (0.1850, 0.3522, 0.7806)  0.25

total energy: -5.4111 eV/atom
calculated density: 5.94 g cm⁻³
M_tot: 1.03 Bohr magnetons per cell

---

> The highest calculated density belongs to which entry?

KCd2WO6

---

> M_tot of number 5 (K2CdWO4)?

0.00 Bohr magnetons per cell

---

> Number 4 is which compound?

K2VCd2O6